Entry from the Alexandria database: a relaxed RbNp2ZnO8 crystal (PBE-GGA).

- Energy: -94.5 eV for the cell shown

Cell: 5.2375 5.2417 7.1865 Å, 87.64 87.63 81.65°
Atoms (fractional coordinates):
Rb 0.0000 0.0000 0.0000
Np 0.4961 0.4960 0.2649
Np 0.5039 0.5040 0.7351
Zn 0.0000 0.0000 0.5000
O 0.2140 0.7755 0.7010
O 0.2260 0.7872 0.2987
O 0.3343 0.3357 0.4845
O 0.3479 0.3499 0.9538
O 0.6521 0.6501 0.0462
O 0.6657 0.6643 0.5155
O 0.7740 0.2128 0.7013
O 0.7860 0.2245 0.2990

---

Entry from the Alexandria database: a relaxed Rb2ZrNp3O12 crystal (PBE-GGA).

- Energy: -158.4 eV for the cell shown

Cell: 7.7052 7.7052 7.7052 Å, 61.61 61.61 61.61°
Atoms (fractional coordinates):
Rb 0.1260 0.1260 0.1260
Rb 0.8740 0.8740 0.8740
Zr 0.5000 0.5000 0.5000
Np 0.0000 0.5000 0.5000
Np 0.5000 0.0000 0.5000
Np 0.5000 0.5000 0.0000
O 0.1798 0.5656 0.5656
O 0.1827 0.1827 0.5672
O 0.1827 0.5672 0.1827
O 0.4328 0.8173 0.8173
O 0.4344 0.4344 0.8202
O 0.4344 0.8202 0.4344
O 0.5656 0.1798 0.5656
O 0.5656 0.5656 0.1798
O 0.5672 0.1827 0.1827
O 0.8173 0.4328 0.8173
O 0.8173 0.8173 0.4328
O 0.8202 0.4344 0.4344

---

> What is the formula in the first record?

RbNp2ZnO8

---

> What is the formula in the first record?

RbNp2ZnO8

---

> Look up the energy of the first one.

-94.5 eV for the cell shown